Entry 1:
Computed, not measured: a relaxed structure of Dy6HgGe2Se3 at the GGA-PBE level of DFT.

Unit cell a=4.127 b=8.401 c=9.395 alpha=106.69 beta=102.69 gamma=90.00
Fractional coordinates of all 12 atoms:
Se 0.500 0.500 0.000
Dy 0.329 0.430 0.658
Dy 0.999 0.263 0.998
Dy 0.001 0.737 0.002
Se 0.167 0.828 0.335
Ge 0.838 0.677 0.675
Dy 0.329 0.911 0.658
Ge 0.162 0.323 0.325
Hg 0.500 0.000 0.000
Dy 0.671 0.089 0.342
Se 0.833 0.172 0.665
Dy 0.671 0.570 0.342

Results
The formation energy without anion corrections is -15.26 eV/f.u. Its space-group type is C2/m. Its theoretical density is 8518 kg/m3. The density of states at the Fermi level is 5.175 states/eV/cell. The size of the total moment is 0.00 μB per cell.


Entry 2:
Computed, not measured: a relaxed structure of SmDyHgGe at the GGA-PBE level of DFT.

Unit cell a=5.201 b=5.201 c=5.201 alpha=60.00 beta=60.00 gamma=60.00
Fractional coordinates of all 4 atoms:
Sm 0.500 0.500 0.500
Ge 0.250 0.250 0.250
Dy 0.000 0.000 0.000
Hg 0.750 0.750 0.750

Results
Its space-group type is F-43m. Its theoretical density is 9783 kg/m3. The density of states at the Fermi level is 3.483 states/eV/cell. The size of the total moment is 0.00 μB per cell. As for the formation energy: -215 kJ/mol of formula units.


Entry 3:
Computed, not measured: a relaxed structure of SrDyHgGe at the GGA-PBE level of DFT.

Unit cell a=5.340 b=5.340 c=5.340 alpha=60.00 beta=60.00 gamma=60.00
Fractional coordinates of all 4 atoms:
Hg 0.000 0.000 0.000
Dy 0.750 0.750 0.750
Ge 0.500 0.500 0.500
Sr 0.250 0.250 0.250

Results
Its space-group type is F-43m. Its theoretical density is 8071 kg/m3. The density of states at the Fermi level is 3.124 states/eV/cell. The size of the total moment is 0.00 μB per cell. As for the formation energy: -182 kJ/mol of formula units.


Entry 4:
Computed, not measured: a relaxed structure of DyThHgGe at the GGA-PBE level of DFT.

Unit cell a=5.247 b=5.247 c=5.247 alpha=60.00 beta=60.00 gamma=60.00
Fractional coordinates of all 4 atoms:
Th 0.500 0.500 0.500
Hg 0.750 0.750 0.750
Ge 0.250 0.250 0.250
Dy 0.000 0.000 0.000

Results
Its space-group type is F-43m. Its theoretical density is 10856 kg/m3. The density of states at the Fermi level is 3.192 states/eV/cell. The size of the total moment is 0.00 μB per cell. As for the formation energy: -168 kJ/mol of formula units.


Entry 5:
Computed, not measured: a relaxed structure of DyTmHgGe at the GGA-PBE level of DFT.

Unit cell a=5.120 b=5.120 c=5.120 alpha=60.00 beta=60.00 gamma=60.00
Fractional coordinates of all 4 atoms:
Hg 0.750 0.750 0.750
Tm 0.500 0.500 0.500
Ge 0.250 0.250 0.250
Dy 0.000 0.000 0.000

Results
Its space-group type is F-43m. Its theoretical density is 10578 kg/m3. The density of states at the Fermi level is 3.397 states/eV/cell. The size of the total moment is 0.00 μB per cell. As for the formation energy: -207 kJ/mol of formula units.


Entry 6:
Computed, not measured: a relaxed structure of DyYHgGe at the GGA-PBE level of DFT.

Unit cell a=5.156 b=5.156 c=5.156 alpha=60.00 beta=60.00 gamma=60.00
Fractional coordinates of all 4 atoms:
Hg 0.000 0.000 0.000
Ge 0.500 0.500 0.500
Dy 0.250 0.250 0.250
Y 0.750 0.750 0.750

Results
Its space-group type is F-43m. Its theoretical density is 8988 kg/m3. The density of states at the Fermi level is 3.464 states/eV/cell. The size of the total moment is 0.00 μB per cell. As for the formation energy: -218 kJ/mol of formula units.


Q: What is the size of the total moment in the fourth record?
A: 0.00 μB per cell